Na3TaFe after structural relaxation, computed with PBE.

As for the formation energy: 2.134 eV per atom. The value obtained for the raw total energy is -2.721 eV per atom.

It has space group Pm-3m (No. 221), with a = 5.888 Å, b = 5.888 Å, c = 5.888 Å, α = 90.00°, β = 90.00° and γ = 90.00°. The inequivalent atoms are Na at (0.000, 0.000, 0.500), Ta at (0.000, 0.000, 0.000) and Fe at (0.500, 0.500, 0.500).



CsGaOF2 after structural relaxation, computed with PBE.

The value obtained for the raw total energy is -3.238 eV per atom.

It has space group P4/mmm (No. 123), with a = 5.214 Å, b = 5.214 Å, c = 4.364 Å, α = 90.00°, β = 90.00° and γ = 90.00°. The inequivalent atoms are Cs at (0.000, 0.000, 0.000), Ga at (0.500, 0.500, 0.500), O at (0.000, 0.000, 0.500) and F at (0.000, 0.500, 0.000).